TaHS2 | PBE | optimized geometry

Geometry as POSCAR:
```
TaHS2
1.0
3.261 0.001 0.740
1.545 2.871 0.740
0.037 0.022 7.193
Ta S H
1 2 1
direct
0.792 0.792 0.625
0.049 0.049 0.861
0.202 0.202 0.389
0.458 0.458 0.625
```

Summary:
As for the space group: No. 8. The energy above the most stable polymorph in this dataset comes out at 0 meV/atom. As for the theoretical density: 6.1 g cm⁻³. For the total magnetic moment, the calculation gives 0.00 μB/cell. The total energy is -27.0 eV per formula unit.

---

PuNi2Ge4Rh | PBE | optimized geometry

Geometry as POSCAR:
```
PuNi2Ge4Rh
1.0
4.124 0.000 0.000
2.062 3.571 0.000
2.062 1.190 8.747
Ni Ge Rh Pu
2 4 1 1
direct
0.765 0.765 0.706
0.235 0.235 0.294
0.124 0.124 0.627
0.603 0.603 0.192
0.397 0.397 0.808
0.876 0.876 0.373
0.500 0.500 0.500
0.000 0.000 0.000
```

Summary:
For the formation energy, the calculation gives -305 meV/atom. As for the space group: No. 166. As for the theoretical density: 9.7 g cm⁻³. For the total magnetic moment, the calculation gives 5.41 μB/cell. The total energy is -54.2 eV per formula unit.

---

MnCuCl2 | PBE | optimized geometry

Geometry as POSCAR:
```
MnCuCl2
1.0
-2.597 -1.992 0.657
3.440 -4.808 -0.977
0.947 -0.051 3.588
Cl Mn Cu
2 1 1
direct
0.500 0.500 0.000
0.000 0.000 0.000
0.000 0.500 0.500
0.500 0.000 0.500
```

Summary:
As for the uncorrected formation energy: -0.06 eV per atom. As for the space group: No. 47. The energy above the most stable polymorph in this dataset comes out at 301 meV/atom. As for the theoretical density: 4.2 g cm⁻³. For the total magnetic moment, the calculation gives 4.17 μB/cell. The total energy is -17.2 eV per formula unit.

---

LaAlBr2 | PBE | optimized geometry

Geometry as POSCAR:
```
LaAlBr2
1.0
-3.790 0.235 -0.931
0.550 -2.575 -2.889
-1.450 -5.404 4.541
La Br Al
1 2 1
direct
0.500 0.500 0.250
0.000 0.000 0.478
0.000 0.000 0.022
0.500 0.500 0.750
```

Summary:
As for the uncorrected formation energy: -0.78 eV per atom. As for the space group: No. 123. The energy above the most stable polymorph in this dataset comes out at 134 meV/atom. As for the theoretical density: 4.9 g cm⁻³. For the total magnetic moment, the calculation gives 0.00 μB/cell. The total energy is -15.1 eV per formula unit.

---

CeSmH | PBE | optimized geometry

Geometry as POSCAR:
```
CeSmH
1.0
-5.709 1.242 -0.272
-1.296 -6.657 -3.209
-1.521 -6.086 4.122
Sm H Ce
4 4 4
direct
0.743 0.831 0.586
0.757 0.331 0.086
0.243 0.669 0.914
0.257 0.169 0.414
0.853 0.667 0.920
0.647 0.167 0.420
0.147 0.333 0.080
0.353 0.833 0.580
0.748 0.334 0.589
0.248 0.166 0.911
0.752 0.834 0.089
0.252 0.666 0.411
```

Summary:
As for the space group: No. 14. The energy above the most stable polymorph in this dataset comes out at 0 meV/atom. As for the theoretical density: 6.9 g cm⁻³. For the total magnetic moment, the calculation gives 3.77 μB/cell. The total energy is -14.5 eV per formula unit.

---

Fe3Au | PBE | optimized geometry

Geometry as POSCAR:
```
Fe3Au
1.0
2.673 0.000 0.000
-1.336 2.315 0.000
0.000 0.000 8.653
Fe Au
3 1
direct
0.000 0.000 0.500
0.333 0.667 0.272
0.333 0.667 0.728
0.000 0.000 0.000
```

Summary:
For the formation energy, the calculation gives 332 meV/atom. As for the space group: No. 187. As for the theoretical density: 11.3 g cm⁻³. For the total magnetic moment, the calculation gives 2.97 μB/cell. The total energy is -27.3 eV per formula unit.

---

Be2AuCl | PBE | optimized geometry

Geometry as POSCAR:
```
Be2AuCl
1.0
8.176 0.104 0.000
6.963 4.288 0.000
-7.534 -2.318 2.174
Au Be Cl
1 2 1
direct
0.807 0.307 0.500
0.933 0.933 0.000
0.257 0.757 0.500
0.504 0.504 0.000
```

Summary:
As for the uncorrected formation energy: 0.04 eV per atom. As for the space group: No. 44. The energy above the most stable polymorph in this dataset comes out at 232 meV/atom. As for the theoretical density: 5.6 g cm⁻³. For the total magnetic moment, the calculation gives 0.00 μB/cell. The total energy is -12.4 eV per formula unit.

---

MnCd4Os | PBE | optimized geometry

Geometry as POSCAR:
```
MnCd4Os
1.0
0.000 3.856 3.856
3.856 0.000 3.856
3.856 3.856 0.000
Cd Os Mn
4 1 1
direct
0.375 0.375 0.876
0.375 0.876 0.375
0.876 0.375 0.375
0.375 0.375 0.375
0.000 0.000 0.000
0.750 0.750 0.750
```

Summary:
For the formation energy, the calculation gives 704 meV/atom. As for the space group: No. 216. As for the theoretical density: 10.1 g cm⁻³. For the total magnetic moment, the calculation gives 3.90 μB/cell. The total energy is -19.8 eV per formula unit.

---

Tl2InRhPb | PBE | optimized geometry

Geometry as POSCAR:
```
Tl2InRhPb
1.0
5.901 0.000 0.000
0.000 5.114 0.000
0.000 0.000 5.901
Pb In Tl Rh
1 1 2 1
direct
0.000 0.000 0.000
0.500 0.500 0.500
0.500 0.000 0.000
0.000 0.000 0.500
0.000 0.500 0.000
```

Summary:
For the formation energy, the calculation gives 672 meV/atom. As for the space group: No. 123. As for the theoretical density: 7.8 g cm⁻³. For the total magnetic moment, the calculation gives 0.00 μB/cell. The total energy is -15.2 eV per formula unit.

---

LaRuSe2Br | PBE | optimized geometry

Geometry as POSCAR:
```
LaRuSe2Br
1.0
5.752 0.000 0.000
0.000 5.752 0.000
0.000 0.000 5.703
Se Br La Ru
2 1 1 1
direct
0.000 0.500 0.000
0.500 0.000 0.000
0.000 0.000 0.500
0.000 0.000 0.000
0.500 0.500 0.500
```

Summary:
As for the uncorrected formation energy: 0.23 eV per atom. As for the space group: No. 123. The energy above the most stable polymorph in this dataset comes out at 886 meV/atom. As for the theoretical density: 4.2 g cm⁻³. For the total magnetic moment, the calculation gives 3.44 μB/cell. The total energy is -21.7 eV per formula unit.

---

K2CdCu | PBE | optimized geometry

Geometry as POSCAR:
```
K2CdCu
1.0
5.664 -0.061 0.005
0.065 5.664 0.005
-0.009 -0.008 4.441
K Cu Cd
2 1 1
direct
0.500 0.500 0.000
0.000 0.000 0.000
0.000 0.500 0.500
0.500 0.000 0.500
```

Summary:
For the formation energy, the calculation gives 246 meV/atom. As for the space group: No. 12. As for the theoretical density: 3.0 g cm⁻³. For the total magnetic moment, the calculation gives 0.00 μB/cell. The total energy is -6.2 eV per formula unit.

---

Ba6BrO5 | PBE | optimized geometry

Geometry as POSCAR:
```
Ba6BrO5
1.0
7.059 0.231 0.000
2.207 6.769 0.000
1.104 3.385 6.166
Ba O Br
6 5 1
direct
0.716 0.731 0.000
0.744 0.465 0.626
0.744 0.091 0.374
0.256 0.909 0.626
0.256 0.535 0.374
0.284 0.269 0.000
0.000 0.327 0.345
0.000 0.673 0.655
0.500 0.837 0.326
0.500 0.163 0.674
0.500 0.500 0.000
0.000 0.000 0.000
```

Summary:
As for the uncorrected formation energy: -2.26 eV per atom. As for the space group: No. 12. As for the theoretical density: 5.6 g cm⁻³. For the total magnetic moment, the calculation gives 0.00 μB/cell. The total energy is -65.1 eV per formula unit.